Ho3Zn2Pd7 | GGA-PBE | relaxed

```
data_Ho3Zn2Pd7
_space_group_name_H-M_alt 'C m m m'
_space_group_IT_number 65
_space_group_name_Hall '-C 2 2'
_cell_length_a 4.178
_cell_length_b 26.879
_cell_length_c 3.997
_cell_angle_alpha 90.00
_cell_angle_beta 90.00
_cell_angle_gamma 90.00
loop_
_atom_site_label
_atom_site_fract_x
_atom_site_fract_y
_atom_site_fract_z
Ho1 0.000 0.000 0.000
Ho2 0.000 0.179 0.000
Zn1 0.000 0.368 0.500
Pd1 0.000 0.079 0.500
Pd2 0.000 0.279 0.500
Pd3 0.000 0.423 0.000
Pd4 0.000 0.500 0.500
```

Computed properties:
* energy relative to the elements: -0.728 eV/atom